Entry 1:
Material: Rb5AsS4Cl2
Method: DFT, GGA-PBE
State: optimized geometry

Results
The calculation puts the spin magnetization at 0.00 μB/atom. The calculated volume is 37.0 Å³/atom. As for the crystal system: orthorhombic. For the total energy, the calculation gives -0.13457 Ha/atom. The uncorrected formation energy is -1.19 eV/atom.

Unit cell a=9.855 b=6.918 c=6.918 alpha=109.90 beta=90.00 gamma=90.00
Fractional positions:
Rb (0.000, 0.000, 0.000)
Rb (0.262, 0.298, 0.690)
Rb (0.262, 0.690, 0.298)
Rb (0.738, 0.298, 0.690)
Rb (0.738, 0.690, 0.298)
As (0.500, 0.971, 0.971)
S (0.318, 0.132, 0.132)
S (0.500, 0.649, 0.959)
S (0.500, 0.959, 0.649)
S (0.682, 0.132, 0.132)
Cl (0.000, 0.514, 0.980)
Cl (0.000, 0.980, 0.514)


Entry 2:
Material: SiNiPt2
Method: DFT, GGA-PBE
State: optimized geometry

Results
The calculation puts the spin magnetization at 0.00 μB/atom. The calculated volume is 13.6 Å³/atom. As for the crystal system: orthorhombic. For the total energy, the calculation gives -0.22539 Ha/atom. The uncorrected formation energy is -0.31 eV/atom.

Unit cell a=2.798 b=3.508 c=5.549 alpha=90.00 beta=90.00 gamma=90.00
Fractional positions:
Si (0.000, 0.000, 0.000)
Ni (0.000, 0.000, 0.500)
Pt (0.500, 0.500, 0.246)
Pt (0.500, 0.500, 0.754)


Entry 3:
Material: Si23Ag4
Method: DFT, GGA-PBE
State: optimized geometry

Results
The calculation puts the spin magnetization at 0.00 μB/atom. The calculated volume is 19.5 Å³/atom. As for the crystal system: cubic. For the total energy, the calculation gives -0.17738 Ha/atom. The uncorrected formation energy is 0.22 eV/atom.

Unit cell a=10.176 b=10.176 c=10.176 alpha=90.00 beta=90.00 gamma=90.00
Fractional positions:
Si (0.000, 0.116, 0.310)
Si (0.000, 0.116, 0.690)
Si (0.000, 0.250, 0.500)
Si (0.000, 0.750, 0.500)
Si (0.000, 0.884, 0.310)
Si (0.000, 0.884, 0.690)
Si (0.116, 0.310, 0.000)
Si (0.116, 0.690, 0.000)
Si (0.183, 0.183, 0.183)
Si (0.183, 0.183, 0.817)
Si (0.183, 0.817, 0.183)
Si (0.183, 0.817, 0.817)
Si (0.190, 0.384, 0.500)
Si (0.190, 0.616, 0.500)
Si (0.250, 0.500, 0.000)
Si (0.310, 0.000, 0.116)
Si (0.310, 0.000, 0.884)
Si (0.317, 0.317, 0.317)
Si (0.317, 0.317, 0.683)
Si (0.317, 0.683, 0.317)
Si (0.317, 0.683, 0.683)
Si (0.384, 0.500, 0.190)
Si (0.384, 0.500, 0.810)
Si (0.500, 0.000, 0.250)
Si (0.500, 0.000, 0.750)
Si (0.500, 0.190, 0.384)
Si (0.500, 0.190, 0.616)
Si (0.500, 0.810, 0.384)
Si (0.500, 0.810, 0.616)
Si (0.616, 0.500, 0.190)
Si (0.616, 0.500, 0.810)
Si (0.683, 0.317, 0.317)
Si (0.683, 0.317, 0.683)
Si (0.683, 0.683, 0.317)
Si (0.683, 0.683, 0.683)
Si (0.690, 0.000, 0.116)
Si (0.690, 0.000, 0.884)
Si (0.750, 0.500, 0.000)
Si (0.810, 0.384, 0.500)
Si (0.810, 0.616, 0.500)
Si (0.817, 0.183, 0.183)
Si (0.817, 0.183, 0.817)
Si (0.817, 0.817, 0.183)
Si (0.817, 0.817, 0.817)
Si (0.884, 0.310, 0.000)
Si (0.884, 0.690, 0.000)
Ag (0.000, 0.000, 0.000)
Ag (0.000, 0.500, 0.250)
Ag (0.000, 0.500, 0.750)
Ag (0.250, 0.000, 0.500)
Ag (0.500, 0.250, 0.000)
Ag (0.500, 0.500, 0.500)
Ag (0.500, 0.750, 0.000)
Ag (0.750, 0.000, 0.500)


Entry 4:
Material: Fe3RhN
Method: DFT, GGA-PBE
State: optimized geometry

Results
The calculation puts the spin magnetization at 2.44 μB/atom. As for the distance to the lowest polymorph of the same formula: 47.14 kcal/mol of atoms. The calculated volume is 19.6 Å³/atom. As for the crystal system: cubic. For the total energy, the calculation gives -0.22281 Ha/atom. The uncorrected formation energy is 2.15 eV/atom.

Unit cell a=4.610 b=4.610 c=4.610 alpha=90.00 beta=90.00 gamma=90.00
Fractional positions:
Fe (0.000, 0.000, 0.500)
Fe (0.000, 0.500, 0.000)
Fe (0.500, 0.000, 0.000)
Rh (0.000, 0.000, 0.000)
N (0.500, 0.500, 0.500)


Entry 5:
Material: Hf3Ir2Pd2
Method: DFT, GGA-PBE
State: optimized geometry

Results
The calculation puts the spin magnetization at 0.00 μB/atom. The calculated volume is 17.5 Å³/atom. As for the crystal system: triclinic. For the total energy, the calculation gives -0.33415 Ha/atom.

Unit cell a=4.217 b=4.802 c=6.959 alpha=103.03 beta=90.07 gamma=116.03
Fractional positions:
Hf (0.000, 0.000, 0.000)
Hf (0.398, 0.795, 0.286)
Hf (0.602, 0.205, 0.714)
Ir (0.302, 0.605, 0.874)
Ir (0.698, 0.395, 0.126)
Pd (0.134, 0.269, 0.426)
Pd (0.866, 0.731, 0.574)


Entry 6:
Material: Sm5YSc4
Method: DFT, GGA-PBE
State: optimized geometry

Results
The calculation puts the spin magnetization at 0.00 μB/atom. As for the distance to the lowest polymorph of the same formula: 0.00 kcal/mol of atoms. The calculated volume is 29.6 Å³/atom. As for the crystal system: tetragonal. For the total energy, the calculation gives -0.20185 Ha/atom.

Unit cell a=3.555 b=3.555 c=23.422 alpha=90.00 beta=90.00 gamma=90.00
Fractional positions:
Sm (0.000, 0.000, 0.000)
Sm (0.000, 0.000, 0.195)
Sm (0.000, 0.000, 0.391)
Sm (0.000, 0.000, 0.609)
Sm (0.000, 0.000, 0.805)
Y (0.500, 0.500, 0.500)
Sc (0.500, 0.500, 0.098)
Sc (0.500, 0.500, 0.293)
Sc (0.500, 0.500, 0.707)
Sc (0.500, 0.500, 0.902)